Run i
First-principles (PBE-GGA) data for crystalline ErNp2Ga9 at its relaxed geometry, as listed in the Alexandria database.

Calculated values
spin magnetization: 7.7 μB per cell
crystal system: tetragonal

Cell lengths 4.253, 4.253, 12.805 Å; angles 90.00, 90.00, 90.00 degrees
Last column: magnetic moment on the atom in μB.
Positions (direct):
Np 0.000 0.000 0.332  -3.62
Np 0.000 0.000 0.668  -3.62
Ga 0.000 0.500 0.167  0.00
Ga 0.000 0.500 0.833  0.00
Ga 0.500 0.500 0.335  -0.02
Ga 0.500 0.000 0.500  -0.02
Ga 0.500 0.500 0.000  0.00
Ga 0.500 0.500 0.665  -0.02
Ga 0.500 0.000 0.167  0.00
Ga 0.500 0.000 0.833  0.00
Ga 0.000 0.500 0.500  -0.02
Er 0.000 0.000 0.000  0.03

***

Run ii
First-principles (PBE-GGA) data for crystalline ErNp2Ga9 at its relaxed geometry, as listed in the Alexandria database.

Calculated values
spin magnetization: 8.8 μB per cell
crystal system: trigonal

Cell lengths 5.458, 5.458, 9.551 Å; angles 73.40, 73.40, 60.00 degrees
Last column: magnetic moment on the atom in μB.
Positions (direct):
Ga 0.078 0.588 0.746  0.00
Ga 0.412 0.412 0.254  0.00
Ga 0.922 0.412 0.254  0.00
Ga 0.588 0.078 0.746  0.00
Ga 0.412 0.922 0.254  0.00
Ga 0.335 0.335 0.995  -0.01
Ga 0.665 0.665 0.005  -0.01
Ga 0.500 0.500 0.500  -0.03
Ga 0.588 0.588 0.746  0.00
Np 0.856 0.856 0.433  4.07
Np 0.144 0.144 0.567  4.07
Er 0.000 0.000 0.000  -0.06

***

On energetic grounds, run i is preferred over the next structure by 149 meV per atom.

***

Run i
First-principles (PBE-GGA) data for crystalline Er6Ga2Os at its relaxed geometry, as listed in the Alexandria database.

Calculated values
spin magnetization: 0.0 μB per cell
crystal system: orthorhombic

Cell lengths 8.318, 8.318, 8.318 Å; angles 110.27, 110.15, 108.00 degrees
Positions (direct):
Ga 0.500 0.631 0.131
Ga 0.359 0.000 0.359
Ga 0.641 0.000 0.641
Ga 0.500 0.369 0.869
Os 0.000 0.000 0.000
Os 0.000 0.500 0.500
Er 0.814 0.266 0.079
Er 0.186 0.266 0.452
Er 0.923 0.750 0.173
Er 0.722 0.051 0.329
Er 0.577 0.750 0.827
Er 0.278 0.949 0.671
Er 0.186 0.734 0.921
Er 0.077 0.250 0.827
Er 0.278 0.607 0.329
Er 0.722 0.393 0.671
Er 0.423 0.250 0.173
Er 0.814 0.734 0.548

***

Run ii
First-principles (PBE-GGA) data for crystalline Er6Ga2Os at its relaxed geometry, as listed in the Alexandria database.

Calculated values
spin magnetization: 0.0 μB per cell
crystal system: orthorhombic

Cell lengths 4.897, 6.942, 8.377 Å; angles 114.48, 106.99, 90.00 degrees
Positions (direct):
Er 0.159 0.915 0.318
Er 0.500 0.235 0.000
Er 0.841 0.085 0.682
Er 0.500 0.765 0.000
Er 0.159 0.404 0.318
Er 0.841 0.596 0.682
Os 0.000 0.000 0.000
Ga 0.667 0.668 0.335
Ga 0.333 0.332 0.665

***

On energetic grounds, run i is preferred over the next structure by 89 meV per atom.

***

Run i
First-principles (PBE-GGA) data for crystalline ErPa2Ga6 at its relaxed geometry, as listed in the Alexandria database.

Calculated values
spin magnetization: 0.0 μB per cell
crystal system: hexagonal

Cell lengths 3.427, 7.806, 7.806 Å; angles 120.00, 90.00, 90.00 degrees
Positions (direct):
Ga 0.500 0.000 0.331
Ga 0.500 0.331 0.000
Ga 0.500 0.000 0.669
Ga 0.500 0.331 0.331
Ga 0.500 0.669 0.000
Ga 0.500 0.669 0.669
Pa 0.000 0.333 0.667
Pa 0.000 0.667 0.333
Er 0.000 0.000 0.000

***

Run ii
First-principles (PBE-GGA) data for crystalline ErPa2Ga6 at its relaxed geometry, as listed in the Alexandria database.

Calculated values
spin magnetization: 0.0 μB per cell
crystal system: orthorhombic

Cell lengths 4.439, 7.701, 7.701 Å; angles 52.96, 73.25, 73.25 degrees
Positions (direct):
Pa 0.896 0.604 0.604
Pa 0.104 0.396 0.396
Ga 0.500 0.285 0.715
Ga 0.307 0.992 0.394
Ga 0.693 0.606 0.008
Ga 0.693 0.008 0.606
Ga 0.307 0.394 0.992
Ga 0.500 0.715 0.285
Er 0.000 0.000 0.000

***

On energetic grounds, run i is preferred over the next structure by 144 meV per atom.

***

Run i
First-principles (PBE-GGA) data for crystalline ErPaGa4 at its relaxed geometry, as listed in the Alexandria database.

Calculated values
spin magnetization: 0.0 μB per cell
crystal system: tetragonal

Cell lengths 4.133, 4.133, 7.841 Å; angles 105.28, 105.28, 90.00 degrees
Positions (direct):
Er 0.000 0.000 0.000
Ga 0.417 0.417 0.834
Ga 0.667 0.167 0.335
Ga 0.833 0.333 0.665
Ga 0.583 0.583 0.166
Pa 0.250 0.750 0.500

***

Run ii
First-principles (PBE-GGA) data for crystalline ErPaGa4 at its relaxed geometry, as listed in the Alexandria database.

Calculated values
spin magnetization: 0.0 μB per cell
crystal system: cubic

Cell lengths 5.508, 5.508, 5.508 Å; angles 60.00, 60.00, 60.00 degrees
Positions (direct):
Ga 0.625 0.625 0.625
Ga 0.126 0.625 0.625
Ga 0.625 0.625 0.126
Ga 0.625 0.126 0.625
Er 0.000 0.000 0.000
Pa 0.250 0.250 0.250

***

On energetic grounds, run i is preferred over the next structure by 114 meV per atom.

***

Run i
First-principles (PBE-GGA) data for crystalline ErGa3Pd3 at its relaxed geometry, as listed in the Alexandria database.

Calculated values
spin magnetization: 0.0 μB per cell
crystal system: trigonal

Cell lengths 6.879, 6.879, 7.236 Å; angles 61.62, 61.62, 60.00 degrees
Positions (direct):
Er 0.339 0.339 0.984
Er 0.661 0.661 0.016
Ga 0.536 0.733 0.631
Ga 0.733 0.100 0.631
Ga 0.900 0.464 0.369
Ga 0.464 0.267 0.369
Ga 0.267 0.900 0.369
Ga 0.100 0.536 0.631
Pd 0.924 0.179 0.204
Pd 0.693 0.924 0.204
Pd 0.307 0.076 0.796
Pd 0.821 0.307 0.796
Pd 0.076 0.821 0.796
Pd 0.179 0.693 0.204

***

Run ii
First-principles (PBE-GGA) data for crystalline ErGa3Pd3 at its relaxed geometry, as listed in the Alexandria database.

Calculated values
spin magnetization: 0.0 μB per cell
crystal system: cubic

Cell lengths 6.773, 6.773, 6.773 Å; angles 90.00, 90.00, 90.00 degrees
Positions (direct):
Pd 0.000 0.500 0.750
Pd 0.250 0.000 0.500
Pd 0.750 0.000 0.500
Pd 0.000 0.500 0.250
Pd 0.500 0.750 0.000
Pd 0.500 0.250 0.000
Ga 0.250 0.500 0.000
Ga 0.750 0.500 0.000
Ga 0.500 0.000 0.250
Ga 0.500 0.000 0.750
Ga 0.000 0.250 0.500
Ga 0.000 0.750 0.500
Er 0.500 0.500 0.500
Er 0.000 0.000 0.000

***

On energetic grounds, run i is preferred over the next structure by 443 meV per atom.

***

Run i
First-principles (PBE-GGA) data for crystalline Er4GaPd2 at its relaxed geometry, as listed in the Alexandria database.

Calculated values
spin magnetization: 0.0 μB per cell
crystal system: monoclinic

Cell lengths 7.801, 7.801, 7.799 Å; angles 108.75, 108.76, 110.92 degrees
Positions (direct):
Ga 0.250 0.750 0.500
Ga 0.000 0.000 0.000
Pd 0.626 0.876 0.251
Pd 0.625 0.375 0.750
Pd 0.124 0.374 0.749
Pd 0.625 0.375 0.250
Er 0.930 0.241 0.310
Er 0.381 0.070 0.311
Er 0.490 0.679 0.811
Er 0.930 0.619 0.690
Er 0.320 0.131 0.810
Er 0.320 0.510 0.189
Er 0.870 0.680 0.190
Er 0.759 0.070 0.690

***

Run ii
First-principles (PBE-GGA) data for crystalline Er4GaPd2 at its relaxed geometry, as listed in the Alexandria database.

Calculated values
spin magnetization: 0.0 μB per cell
crystal system: trigonal

Cell lengths 4.910, 4.910, 8.507 Å; angles 73.23, 73.23, 60.00 degrees
Positions (direct):
Pd 0.750 0.750 0.749
Pd 0.250 0.250 0.251
Er 0.127 0.127 0.619
Er 0.621 0.621 0.136
Er 0.873 0.873 0.381
Er 0.379 0.379 0.864
Ga 0.000 0.000 0.000

***

On energetic grounds, run ii is preferred over the next structure by 135 meV per atom.

***

Run i
First-principles (PBE-GGA) data for crystalline ErGa2Pd7 at its relaxed geometry, as listed in the Alexandria database.

Calculated values
spin magnetization: 0.0 μB per cell
crystal system: tetragonal

Cell lengths 4.120, 4.120, 10.427 Å; angles 101.39, 101.39, 90.00 degrees
Positions (direct):
Pd 0.898 0.398 0.796
Pd 0.250 0.750 0.500
Pd 0.602 0.102 0.204
Pd 0.398 0.898 0.796
Pd 0.750 0.250 0.500
Pd 0.102 0.602 0.204
Pd 0.500 0.500 0.000
Er 0.000 0.000 0.000
Ga 0.325 0.325 0.649
Ga 0.675 0.675 0.351

***

Run ii
First-principles (PBE-GGA) data for crystalline ErGa2Pd7 at its relaxed geometry, as listed in the Alexandria database.

Calculated values
spin magnetization: 0.0 μB per cell
crystal system: orthorhombic

Cell lengths 4.488, 7.112, 7.112 Å; angles 117.93, 90.00, 90.00 degrees
Positions (direct):
Er 0.000 0.000 0.000
Pd 0.000 0.224 0.776
Pd 0.500 0.069 0.306
Pd 0.000 0.776 0.224
Pd 0.500 0.500 0.500
Pd 0.500 0.306 0.069
Pd 0.500 0.694 0.931
Pd 0.500 0.931 0.694
Ga 0.500 0.699 0.301
Ga 0.500 0.301 0.699

***

On energetic grounds, run i is preferred over the next structure by 375 meV per atom.

***

Run i
First-principles (PBE-GGA) data for crystalline Er2Ga3Pd5 at its relaxed geometry, as listed in the Alexandria database.

Calculated values
spin magnetization: 0.0 μB per cell
crystal system: orthorhombic

Cell lengths 4.175, 6.751, 12.620 Å; angles 90.00, 99.52, 90.00 degrees
Positions (direct):
Pd 0.726 0.524 0.452
Pd 0.696 0.090 0.393
Pd 0.597 0.848 0.195
Pd 0.403 0.348 0.805
Pd 0.274 0.024 0.548
Pd 0.942 0.039 0.884
Pd 0.882 0.677 0.765
Pd 0.304 0.590 0.607
Pd 0.118 0.177 0.235
Pd 0.058 0.539 0.116
Ga 0.958 0.414 0.915
Ga 0.374 0.952 0.748
Ga 0.784 0.823 0.568
Ga 0.216 0.323 0.432
Ga 0.042 0.914 0.085
Ga 0.626 0.452 0.252
Er 0.526 0.223 0.053
Er 0.824 0.275 0.648
Er 0.474 0.723 0.947
Er 0.176 0.775 0.352

***

Run ii
First-principles (PBE-GGA) data for crystalline Er2Ga3Pd5 at its relaxed geometry, as listed in the Alexandria database.

Calculated values
spin magnetization: 0.0 μB per cell
crystal system: orthorhombic

Cell lengths 5.705, 8.506, 8.506 Å; angles 84.71, 70.40, 70.40 degrees
Positions (direct):
Er 0.137 0.585 0.141
Er 0.863 0.415 0.859
Er 0.637 0.141 0.585
Er 0.363 0.859 0.415
Pd 0.480 0.770 0.770
Pd 0.094 0.074 0.737
Pd 0.594 0.737 0.074
Pd 0.406 0.263 0.926
Pd 0.906 0.926 0.263
Pd 0.980 0.770 0.770
Pd 0.520 0.230 0.230
Pd 0.020 0.230 0.230
Pd 0.750 0.500 0.500
Pd 0.250 0.500 0.500
Ga 0.863 0.759 0.515
Ga 0.637 0.485 0.241
Ga 0.750 0.000 0.000
Ga 0.250 0.000 0.000
Ga 0.363 0.515 0.759
Ga 0.137 0.241 0.485

***

On energetic grounds, run i is preferred over the next structure by 56 meV per atom.

***

Run i
First-principles (PBE-GGA) data for crystalline Er6Ga2Pd at its relaxed geometry, as listed in the Alexandria database.

Calculated values
spin magnetization: 0.0 μB per cell
crystal system: orthorhombic

Cell lengths 8.397, 8.397, 8.397 Å; angles 107.27, 111.05, 110.11 degrees
Positions (direct):
Er 0.292 0.619 0.327
Er 0.808 0.743 0.551
Er 0.708 0.381 0.673
Er 0.438 0.262 0.175
Er 0.292 0.965 0.673
Er 0.192 0.257 0.449
Er 0.562 0.738 0.825
Er 0.087 0.262 0.825
Er 0.913 0.738 0.175
Er 0.808 0.257 0.065
Er 0.192 0.743 0.935
Er 0.708 0.035 0.327
Ga 0.500 0.624 0.124
Ga 0.356 0.000 0.356
Ga 0.644 0.000 0.644
Ga 0.500 0.376 0.876
Pd 0.000 0.000 0.000
Pd 0.000 0.500 0.500

***

Run ii
First-principles (PBE-GGA) data for crystalline Er6Ga2Pd at its relaxed geometry, as listed in the Alexandria database.

Calculated values
spin magnetization: 0.0 μB per cell
crystal system: orthorhombic

Cell lengths 4.860, 6.952, 8.478 Å; angles 114.20, 106.63, 90.00 degrees
Positions (direct):
Ga 0.332 0.332 0.665
Ga 0.668 0.668 0.335
Er 0.500 0.757 0.000
Er 0.837 0.591 0.673
Er 0.163 0.409 0.327
Er 0.500 0.243 0.000
Er 0.163 0.918 0.327
Er 0.837 0.082 0.673
Pd 0.000 0.000 0.000

***

On energetic grounds, run i is preferred over the next structure by 128 meV per atom.

***

Run i
First-principles (PBE-GGA) data for crystalline SmErGaPd at its relaxed geometry, as listed in the Alexandria database.

Calculated values
spin magnetization: 0.0 μB per cell
crystal system: cubic

Cell lengths 5.055, 5.055, 5.055 Å; angles 60.00, 60.00, 60.00 degrees
Positions (direct):
Pd 0.750 0.750 0.750
Er 0.000 0.000 0.000
Sm 0.500 0.500 0.500
Ga 0.250 0.250 0.250

***

Run ii
First-principles (PBE-GGA) data for crystalline SmErGaPd at its relaxed geometry, as listed in the Alexandria database.

Calculated values
spin magnetization: 0.0 μB per cell
crystal system: orthorhombic

Cell lengths 3.775, 4.488, 5.861 Å; angles 90.00, 108.79, 90.00 degrees
Positions (direct):
Ga 0.574 0.500 0.148
Sm 0.144 0.000 0.289
Pd 0.423 0.000 0.845
Er 0.859 0.500 0.718

***

On energetic grounds, run ii is preferred over the next structure by 42 meV per atom.

***

Run i
First-principles (PBE-GGA) data for crystalline TbErGaPd at its relaxed geometry, as listed in the Alexandria database.

Calculated values
spin magnetization: 0.0 μB per cell
crystal system: cubic

Cell lengths 5.010, 5.010, 5.010 Å; angles 60.00, 60.00, 60.00 degrees
Positions (direct):
Ga 0.250 0.250 0.250
Pd 0.750 0.750 0.750
Er 0.000 0.000 0.000
Tb 0.500 0.500 0.500

***

Run ii
First-principles (PBE-GGA) data for crystalline TbErGaPd at its relaxed geometry, as listed in the Alexandria database.

Calculated values
spin magnetization: 0.0 μB per cell
crystal system: orthorhombic

Cell lengths 3.720, 4.489, 5.804 Å; angles 90.00, 108.69, 90.00 degrees
Positions (direct):
Pd 0.574 0.500 0.149
Tb 0.144 0.000 0.288
Ga 0.421 0.000 0.843
Er 0.860 0.500 0.721

***

On energetic grounds, run ii is preferred over the next structure by 36 meV per atom.